(1)
# CsMg6In12 (PBE-GGA, relaxed)
data_CsMg6In12
_space_group_name_H-M_alt 'R -3 m'
_space_group_IT_number 166
_space_group_name_Hall '-R 3 2"'
_cell_length_a 13.2459
_cell_length_b 13.2459
_cell_length_c 10.5788
_cell_angle_alpha 90.00
_cell_angle_beta 90.00
_cell_angle_gamma 120.00
loop_
_atom_site_label
_atom_site_type_symbol
_atom_site_fract_x
_atom_site_fract_y
_atom_site_fract_z
_atom_site_occupancy
Cs1 Cs 0.0000 0.0000 0.0000 1
Mg1 Mg 0.0564 0.5282 0.2380 1
In1 In 0.0000 0.3886 0.5000 1
In2 In 0.0874 0.1747 0.3031 1
# Theoretical density: 5.1 Mg/m³

=====

(2)
# CsMg3In2 (PBE-GGA, relaxed)
data_CsMg3In2
_space_group_name_H-M_alt 'C 1 2/m 1'
_space_group_IT_number 12
_space_group_name_Hall '-C 2y'
_cell_length_a 19.040
_cell_length_b 4.530
_cell_length_c 9.617
_cell_angle_alpha 90.00
_cell_angle_beta 111.36
_cell_angle_gamma 90.00
loop_
_atom_site_label
_atom_site_type_symbol
_atom_site_fract_x
_atom_site_fract_y
_atom_site_fract_z
_atom_site_occupancy
Cs1 Cs 0.161 0.000 0.055 1
Mg1 Mg 0.041 0.000 0.378 1
Mg2 Mg 0.080 0.500 0.646 1
Mg3 Mg 0.177 0.500 0.428 1
In1 In 0.022 0.500 0.165 1
In2 In 0.185 0.000 0.650 1
# Theoretical density: 3.7 Mg/m³

=====

(3)
# Cs2Mg12In7 (PBE-GGA, relaxed)
data_Cs2Mg12In7
_space_group_name_H-M_alt 'P -3'
_space_group_IT_number 147
_space_group_name_Hall '-P 3'
_cell_length_a 11.9504
_cell_length_b 11.9504
_cell_length_c 4.8182
_cell_angle_alpha 90.00
_cell_angle_beta 90.00
_cell_angle_gamma 120.00
loop_
_atom_site_label
_atom_site_type_symbol
_atom_site_fract_x
_atom_site_fract_y
_atom_site_fract_z
_atom_site_occupancy
Cs1 Cs 0.3333 0.6667 0.2476 1
Mg1 Mg 0.0501 0.4293 0.7529 1
Mg2 Mg 0.1250 0.2629 0.2356 1
In1 In 0.0000 0.0000 0.5000 1
In2 In 0.1100 0.7114 0.7432 1
# Theoretical density: 3.8 Mg/m³

=====

(4)
# Cs2MgIn (PBE-GGA, relaxed)
data_Cs2MgIn
_space_group_name_H-M_alt 'I -4 2 d'
_space_group_IT_number 122
_space_group_name_Hall 'I -4 2bw'
_cell_length_a 10.834
_cell_length_b 10.834
_cell_length_c 7.528
_cell_angle_alpha 90.00
_cell_angle_beta 90.00
_cell_angle_gamma 90.00
loop_
_atom_site_label
_atom_site_type_symbol
_atom_site_fract_x
_atom_site_fract_y
_atom_site_fract_z
_atom_site_occupancy
Cs1 Cs 0.244 0.250 0.125 1
Mg1 Mg 0.000 0.000 0.500 1
In1 In 0.000 0.000 0.000 1
# Theoretical density: 3.0 Mg/m³

=====

(5)
# CsMg2In8 (PBE-GGA, relaxed)
data_CsMg2In8
_space_group_name_H-M_alt 'P 4/m m m'
_space_group_IT_number 123
_space_group_name_Hall '-P 4 2'
_cell_length_a 5.367
_cell_length_b 5.367
_cell_length_c 12.864
_cell_angle_alpha 90.00
_cell_angle_beta 90.00
_cell_angle_gamma 90.00
loop_
_atom_site_label
_atom_site_type_symbol
_atom_site_fract_x
_atom_site_fract_y
_atom_site_fract_z
_atom_site_occupancy
Cs1 Cs 0.000 0.000 0.000 1
Mg1 Mg 0.000 0.000 0.372 1
In1 In 0.000 0.500 0.236 1
In2 In 0.000 0.500 0.500 1
In3 In 0.500 0.500 0.371 1
# Theoretical density: 4.9 Mg/m³

=====

(6)
# CsMgIn6 (PBE-GGA, relaxed)
data_CsMgIn6
_space_group_name_H-M_alt 'R -3 m'
_space_group_IT_number 166
_space_group_name_Hall '-R 3 2"'
_cell_length_a 5.2111
_cell_length_b 5.2111
_cell_length_c 33.2619
_cell_angle_alpha 90.00
_cell_angle_beta 90.00
_cell_angle_gamma 120.00
loop_
_atom_site_label
_atom_site_type_symbol
_atom_site_fract_x
_atom_site_fract_y
_atom_site_fract_z
_atom_site_occupancy
Cs1 Cs 0.0000 0.0000 0.0000 1
Mg1 Mg 0.0000 0.0000 0.5000 1
In1 In 0.0000 0.0000 0.1353 1
In2 In 0.0000 0.0000 0.2337 1
In3 In 0.0000 0.0000 0.4091 1
# Theoretical density: 5.4 Mg/m³

=====

(7)
# CsMgIn2 (PBE-GGA, relaxed)
data_CsMgIn2
_space_group_name_H-M_alt 'P 1 21/m 1'
_space_group_IT_number 11
_space_group_name_Hall '-P 2yb'
_cell_length_a 6.674
_cell_length_b 4.886
_cell_length_c 9.271
_cell_angle_alpha 90.00
_cell_angle_beta 109.28
_cell_angle_gamma 90.00
loop_
_atom_site_label
_atom_site_type_symbol
_atom_site_fract_x
_atom_site_fract_y
_atom_site_fract_z
_atom_site_occupancy
Cs1 Cs 0.213 0.250 0.430 1
Mg1 Mg 0.160 0.250 0.923 1
In1 In 0.311 0.750 0.138 1
In2 In 0.395 0.750 0.824 1
# Theoretical density: 4.5 Mg/m³

=====

(8)
# CsMg4In12 (PBE-GGA, relaxed)
data_CsMg4In12
_space_group_name_H-M_alt 'I m -3'
_space_group_IT_number 204
_space_group_name_Hall '-I 2 2 3'
_cell_length_a 10.228
_cell_length_b 10.228
_cell_length_c 10.228
_cell_angle_alpha 90.00
_cell_angle_beta 90.00
_cell_angle_gamma 90.00
loop_
_atom_site_label
_atom_site_type_symbol
_atom_site_fract_x
_atom_site_fract_y
_atom_site_fract_z
_atom_site_occupancy
Cs1 Cs 0.000 0.000 0.000 1
Mg1 Mg 0.250 0.250 0.250 1
In1 In 0.000 0.357 0.154 1
# Theoretical density: 5.0 Mg/m³

=====

Number 1: uncorrected energy -43.39 eV per formula unit. Number 2: uncorrected energy -11.32 eV per formula unit. Number 3: uncorrected energy -40.53 eV per formula unit. Number 4: uncorrected energy -4.71 eV per formula unit. Number 5: uncorrected energy -25.97 eV per formula unit. Number 6: uncorrected energy -19.35 eV per formula unit. Number 7: uncorrected energy -8.25 eV per formula unit. Number 8: uncorrected energy -37.61 eV per formula unit.